First-principles (PBE-GGA) data for a geometry-optimized BaTc3 structure, as listed in Alexandria via LeMat-Bulk.

Output
Calculated volume: 18.5 Å³ per atom
Calculated formation energy: 1.344 eV/atom

```
data_BaTc3
_cell_length_a 9.3508
_cell_length_b 9.3508
_cell_length_c 2.9394
_cell_angle_alpha 90.00
_cell_angle_beta 90.00
_cell_angle_gamma 120.00
_space_group_name_H-M_alt 'R -3 m'
_space_group_IT_number 166
_space_group_name_Hall '-R 3 2"'
loop_
_atom_site_label
_atom_site_type_symbol
_atom_site_fract_x
_atom_site_fract_y
_atom_site_fract_z
Ba1 Ba 0.0000 0.0000 0.0000
Tc1 Tc 0.0000 0.5000 0.0000
```